No. 1
# NbMo3W6 (PBE-GGA, relaxed)
# Fermi-level density of states, states/eV/cell: 7.71
# Uncorrected energy, eV per atom: -12.07
data_NbMo3W6
_symmetry_space_group_name_H-M 'P 1'
_symmetry_Int_Tables_number 1
_cell_length_a 4.511
_cell_length_b 7.813
_cell_length_c 10.564
_cell_angle_alpha 119.38
_cell_angle_beta 90.00
_cell_angle_gamma 90.00
loop_
_symmetry_equiv_pos_as_xyz
'x,y,z'
loop_
_atom_site_label
_atom_site_type_symbol
_atom_site_fract_x
_atom_site_fract_y
_atom_site_fract_z
Nb1 Nb 0.750 0.651 0.601
Nb2 Nb 0.250 0.349 0.399
Mo1 Mo 0.750 0.850 0.399
Mo2 Mo 0.250 0.150 0.601
Mo3 Mo 0.750 0.449 0.801
Mo4 Mo 0.250 0.551 0.199
Mo5 Mo 0.750 0.251 0.001
Mo6 Mo 0.250 0.749 0.999
W1 W 0.750 0.650 0.099
W2 W 0.250 0.350 0.901
W3 W 0.750 0.048 0.198
W4 W 0.250 0.952 0.802
W5 W 0.750 0.053 0.702
W6 W 0.250 0.947 0.298
W7 W 0.750 0.246 0.500
W8 W 0.250 0.754 0.500
W9 W 0.750 0.450 0.296
W10 W 0.250 0.550 0.704
W11 W 0.750 0.852 0.902
W12 W 0.250 0.148 0.098



No. 2
# Nb2Mo3W (PBE-GGA, relaxed)
# Fermi-level density of states, states/eV/cell: 5.70
# Offset from the most stable computed form, meV per atom: 0
data_Nb2Mo3W
_symmetry_space_group_name_H-M 'P 1'
_symmetry_Int_Tables_number 1
_cell_length_a 4.541
_cell_length_b 7.176
_cell_length_c 6.430
_cell_angle_alpha 90.00
_cell_angle_beta 90.01
_cell_angle_gamma 71.56
loop_
_symmetry_equiv_pos_as_xyz
'x,y,z'
loop_
_atom_site_label
_atom_site_type_symbol
_atom_site_fract_x
_atom_site_fract_y
_atom_site_fract_z
Nb1 Nb 0.000 0.000 0.000
Nb2 Nb 0.000 0.000 0.500
Nb3 Nb 0.333 0.334 0.500
Nb4 Nb 0.667 0.666 0.500
Mo1 Mo 0.832 0.336 0.754
Mo2 Mo 0.500 0.000 0.247
Mo3 Mo 0.168 0.664 0.246
Mo4 Mo 0.832 0.336 0.246
Mo5 Mo 0.168 0.664 0.754
Mo6 Mo 0.500 0.000 0.753
W1 W 0.333 0.334 0.000
W2 W 0.667 0.666 0.000



No. 3
# NbMo5W4 (PBE-GGA, relaxed)
# Fermi-level density of states, states/eV/cell: 6.99
# Uncorrected energy, eV per atom: -11.65
data_NbMo5W4
_symmetry_space_group_name_H-M 'P 1'
_symmetry_Int_Tables_number 1
_cell_length_a 3.181
_cell_length_b 3.181
_cell_length_c 15.991
_cell_angle_alpha 90.00
_cell_angle_beta 90.00
_cell_angle_gamma 90.00
loop_
_symmetry_equiv_pos_as_xyz
'x,y,z'
loop_
_atom_site_label
_atom_site_type_symbol
_atom_site_fract_x
_atom_site_fract_y
_atom_site_fract_z
Nb1 Nb 0.000 0.000 0.000
Mo1 Mo 0.500 0.500 0.104
Mo2 Mo 0.500 0.500 0.302
Mo3 Mo 0.500 0.500 0.500
Mo4 Mo 0.500 0.500 0.698
Mo5 Mo 0.500 0.500 0.896
W1 W 0.000 0.000 0.201
W2 W 0.000 0.000 0.401
W3 W 0.000 0.000 0.599
W4 W 0.000 0.000 0.799



No. 4
# NbMo2W (PBE-GGA, relaxed)
# Fermi-level density of states, states/eV/cell: 7.02
# Offset from the most stable computed form, meV per atom: 333
data_NbMo2W
_symmetry_space_group_name_H-M 'P 1'
_symmetry_Int_Tables_number 1
_cell_length_a 5.958
_cell_length_b 5.958
_cell_length_c 9.417
_cell_angle_alpha 39.36
_cell_angle_beta 39.36
_cell_angle_gamma 53.53
loop_
_symmetry_equiv_pos_as_xyz
'x,y,z'
loop_
_atom_site_label
_atom_site_type_symbol
_atom_site_fract_x
_atom_site_fract_y
_atom_site_fract_z
Nb1 Nb 0.186 0.318 0.746
Nb2 Nb 0.318 0.186 0.246
Mo1 Mo 0.802 0.190 0.749
Mo2 Mo 0.190 0.802 0.249
Mo3 Mo 0.314 0.701 0.742
Mo4 Mo 0.701 0.314 0.242
W1 W 0.685 0.819 0.746
W2 W 0.819 0.685 0.246



No. 5
# Nb6MoW5 (PBE-GGA, relaxed)
# Fermi-level density of states, states/eV/cell: 9.98
# Uncorrected energy, eV per atom: -11.40
data_Nb6MoW5
_symmetry_space_group_name_H-M 'P 1'
_symmetry_Int_Tables_number 1
_cell_length_a 4.583
_cell_length_b 6.476
_cell_length_c 7.942
_cell_angle_alpha 114.06
_cell_angle_beta 106.77
_cell_angle_gamma 90.00
loop_
_symmetry_equiv_pos_as_xyz
'x,y,z'
loop_
_atom_site_label
_atom_site_type_symbol
_atom_site_fract_x
_atom_site_fract_y
_atom_site_fract_z
Nb1 Nb 0.166 0.416 0.333
Nb2 Nb 0.166 0.917 0.333
Nb3 Nb 0.500 0.249 0.000
Nb4 Nb 0.500 0.751 0.000
Nb5 Nb 0.834 0.083 0.667
Nb6 Nb 0.834 0.584 0.667
Mo1 Mo 0.000 0.000 0.000
W1 W 0.333 0.833 0.665
W2 W 0.666 0.666 0.333
W3 W 0.000 0.500 0.000
W4 W 0.334 0.334 0.667
W5 W 0.667 0.167 0.335



No. 6
# Nb3MoW (PBE-GGA, relaxed)
# Fermi-level density of states, states/eV/cell: 8.27
# Offset from the most stable computed form, meV per atom: 0
data_Nb3MoW
_symmetry_space_group_name_H-M 'P 1'
_symmetry_Int_Tables_number 1
_cell_length_a 3.238
_cell_length_b 5.399
_cell_length_c 10.305
_cell_angle_alpha 90.27
_cell_angle_beta 90.00
_cell_angle_gamma 107.45
loop_
_symmetry_equiv_pos_as_xyz
'x,y,z'
loop_
_atom_site_label
_atom_site_type_symbol
_atom_site_fract_x
_atom_site_fract_y
_atom_site_fract_z
Nb1 Nb 0.251 0.503 0.751
Nb2 Nb 0.749 0.497 0.249
Nb3 Nb 0.355 0.709 0.049
Nb4 Nb 0.645 0.291 0.951
Nb5 Nb 0.147 0.293 0.452
Nb6 Nb 0.853 0.707 0.548
Mo1 Mo 0.952 0.903 0.847
Mo2 Mo 0.048 0.097 0.153
W1 W 0.549 0.098 0.653
W2 W 0.451 0.902 0.347



No. 7
# Nb6Mo2W3 (PBE-GGA, relaxed)
# Fermi-level density of states, states/eV/cell: 10.49
# Uncorrected energy, eV per atom: -10.70
data_Nb6Mo2W3
_symmetry_space_group_name_H-M 'P 1'
_symmetry_Int_Tables_number 1
_cell_length_a 4.723
_cell_length_b 2.637
_cell_length_c 15.732
_cell_angle_alpha 94.81
_cell_angle_beta 98.63
_cell_angle_gamma 90.00
loop_
_symmetry_equiv_pos_as_xyz
'x,y,z'
loop_
_atom_site_label
_atom_site_type_symbol
_atom_site_fract_x
_atom_site_fract_y
_atom_site_fract_z
Nb1 Nb 0.633 0.133 0.266
Nb2 Nb 0.091 0.591 0.181
Nb3 Nb 0.367 0.867 0.734
Nb4 Nb 0.909 0.409 0.819
Nb5 Nb 0.724 0.724 0.448
Nb6 Nb 0.276 0.276 0.552
Mo1 Mo 0.457 0.457 0.915
Mo2 Mo 0.543 0.543 0.085
W1 W 0.000 0.000 0.000
W2 W 0.817 0.817 0.635
W3 W 0.183 0.183 0.365



No. 8
# Nb2Mo2W7 (PBE-GGA, relaxed)
# Fermi-level density of states, states/eV/cell: 5.45
# Offset from the most stable computed form, meV per atom: 0
data_Nb2Mo2W7
_symmetry_space_group_name_H-M 'P 1'
_symmetry_Int_Tables_number 1
_cell_length_a 7.796
_cell_length_b 5.227
_cell_length_c 5.227
_cell_angle_alpha 116.60
_cell_angle_beta 89.81
_cell_angle_gamma 89.81
loop_
_symmetry_equiv_pos_as_xyz
'x,y,z'
loop_
_atom_site_label
_atom_site_type_symbol
_atom_site_fract_x
_atom_site_fract_y
_atom_site_fract_z
Nb1 Nb 0.500 0.252 0.748
Nb2 Nb 0.500 0.748 0.252
Mo1 Mo 0.678 0.337 0.337
Mo2 Mo 0.322 0.663 0.663
W1 W 0.161 0.081 0.579
W2 W 0.839 0.421 0.919
W3 W 0.839 0.919 0.421
W4 W 0.161 0.579 0.081
W5 W 0.000 0.000 0.000
W6 W 0.671 0.835 0.835
W7 W 0.329 0.165 0.165